No. 1
Entry from OQMD via LeMat-Bulk: HfZrIn after structural relaxation (PBE).

Geometry as CIF:
```
data_HfZrIn
_symmetry_space_group_name_H-M 'F -4 3 m'
_symmetry_Int_Tables_number 216
_symmetry_space_group_name_Hall 'F -4 2 3'
_cell_length_a 6.751
_cell_length_b 6.751
_cell_length_c 6.751
_cell_angle_alpha 90.00
_cell_angle_beta 90.00
_cell_angle_gamma 90.00
loop_
_atom_site_label
_atom_site_type_symbol
_atom_site_fract_x
_atom_site_fract_y
_atom_site_fract_z
Hf1 Hf 0.000 0.000 0.000
Zr1 Zr 0.000 0.000 0.500
In1 In 0.250 0.250 0.250
```

- Total DFT energy (no corrections): -6.75 eV/atom

=====

No. 2
Entry from OQMD via LeMat-Bulk: TmZn after structural relaxation (PBE).

Geometry as CIF:
```
data_TmZn
_symmetry_space_group_name_H-M 'P 1 m 1'
_symmetry_Int_Tables_number 6
_cell_length_a 6.562
_cell_length_b 4.534
_cell_length_c 8.811
_cell_angle_alpha 90.00
_cell_angle_beta 99.78
_cell_angle_gamma 90.00
loop_
_symmetry_equiv_pos_as_xyz
'x,y,z'
'x,-y,z'
loop_
_atom_site_label
_atom_site_type_symbol
_atom_site_fract_x
_atom_site_fract_y
_atom_site_fract_z
Tm1 Tm 0.000 0.000 0.000
Tm2 Tm 0.062 0.000 0.378
Tm3 Tm 0.175 0.500 0.791
Tm4 Tm 0.550 0.000 0.356
Tm5 Tm 0.664 0.500 0.772
Tm6 Tm 0.728 0.500 0.149
Zn1 Zn 0.257 0.500 0.164
Zn2 Zn 0.349 0.500 0.487
Zn3 Zn 0.379 0.000 0.661
Zn4 Zn 0.470 0.000 0.983
Zn5 Zn 0.837 0.500 0.490
Zn6 Zn 0.885 0.000 0.658
```

- DFT formation energy: -208 meV/atom

=====

How do the records compare in total magnetization? In the order shown, they have 0.000; 0.000 μB per atom.